1.
Ag2PdF4 after structural relaxation. Source: OQMD via LeMat-Bulk, functional PBE.

Results
symmetry = No. 64
E_tot = -3.66 eV per atom

The structure in POSCAR format:
```
Ag2PdF4
1.0
4.395 -3.560 0.000
4.395 3.560 0.000
0.000 0.000 7.103
Ag F Pd
4 8 2
direct
0.022 0.478 0.250 Ag
0.522 0.978 0.250 Ag
0.478 0.022 0.750 Ag
0.978 0.522 0.750 Ag
0.229 0.229 0.000 F
0.771 0.771 0.000 F
0.190 0.810 0.205 F
0.690 0.310 0.295 F
0.271 0.271 0.500 F
0.729 0.729 0.500 F
0.310 0.690 0.705 F
0.810 0.190 0.795 F
0.000 0.000 0.000 Pd
0.500 0.500 0.500 Pd
```



2.
AgPtF3 after structural relaxation. Source: OQMD via LeMat-Bulk, functional PBE.

Results
relative energy among the computed polymorphs = 2.379 eV/f.u.
symmetry = No. 99

The structure in POSCAR format:
```
AgPtF3
1.0
-2.356 3.149 1.142
-0.708 -1.833 3.593
3.717 2.123 1.815
Ag F Pt
1 3 1
direct
0.000 0.000 0.485 Ag
0.000 0.000 0.047 F
0.500 0.000 0.760 F
0.000 0.500 0.760 F
0.500 0.500 0.848 Pt
```



3.
AgPtF3 after structural relaxation. Source: OQMD via LeMat-Bulk, functional PBE.

Results
relative energy among the computed polymorphs = 0.000 eV/f.u.
symmetry = No. 62

The structure in POSCAR format:
```
AgPtF3
1.0
6.711 0.000 0.000
0.000 6.791 0.000
0.000 0.000 5.955
Ag F Pt
4 12 4
direct
0.540 0.250 0.140 Ag
0.040 0.250 0.360 Ag
0.960 0.750 0.640 Ag
0.460 0.750 0.860 Ag
0.293 0.018 0.017 F
0.293 0.482 0.017 F
0.009 0.750 0.183 F
0.509 0.750 0.317 F
0.793 0.018 0.483 F
0.793 0.482 0.483 F
0.207 0.518 0.517 F
0.207 0.982 0.517 F
0.491 0.250 0.683 F
0.991 0.250 0.817 F
0.707 0.518 0.983 F
0.707 0.982 0.983 F
0.000 0.000 0.000 Pt
0.000 0.500 0.000 Pt
0.500 0.000 0.500 Pt
0.500 0.500 0.500 Pt
```



4.
AgPtF3 after structural relaxation. Source: OQMD via LeMat-Bulk, functional PBE.

Results
relative energy among the computed polymorphs = 1.311 eV/f.u.
symmetry = No. 99

The structure in POSCAR format:
```
AgPtF3
1.0
4.190 0.000 0.000
0.000 4.190 0.000
0.000 0.000 4.311
Ag F Pt
1 3 1
direct
0.000 0.000 0.022 Ag
0.500 0.500 0.086 F
0.500 0.000 0.604 F
0.000 0.500 0.604 F
0.500 0.500 0.585 Pt
```



5.
AgPtF3 after structural relaxation. Source: OQMD via LeMat-Bulk, functional PBE.

Results
relative energy among the computed polymorphs = 1.892 eV/f.u.
symmetry = No. 167

The structure in POSCAR format:
```
AgPtF3
1.0
3.173 1.832 3.928
-3.173 1.832 3.928
0.000 -3.664 3.928
Ag F Pt
2 6 2
direct
0.000 0.000 0.000 Ag
0.500 0.500 0.500 Ag
0.429 0.750 0.071 F
0.929 0.571 0.250 F
0.750 0.071 0.429 F
0.250 0.929 0.571 F
0.071 0.429 0.750 F
0.571 0.250 0.929 F
0.250 0.250 0.250 Pt
0.750 0.750 0.750 Pt
```



6.
AgPtF3 after structural relaxation. Source: OQMD via LeMat-Bulk, functional PBE.

Results
relative energy among the computed polymorphs = 1.232 eV/f.u.
symmetry = No. 167

The structure in POSCAR format:
```
AgPtF3
1.0
3.276 -0.919 4.484
4.683 -3.002 -0.862
4.875 2.808 0.188
Ag F Pt
2 6 2
direct
0.250 0.250 0.250 Ag
0.750 0.750 0.750 Ag
0.357 0.750 0.143 F
0.857 0.643 0.250 F
0.750 0.143 0.357 F
0.250 0.857 0.643 F
0.143 0.357 0.750 F
0.643 0.250 0.857 F
0.000 0.000 0.000 Pt
0.500 0.500 0.500 Pt
```



7.
AgPtF6 after structural relaxation. Source: OQMD via LeMat-Bulk, functional PBE.

Results
symmetry = No. 216
E_tot = -3.63 eV per atom

The structure in POSCAR format:
```
AgPtF6
1.0
-0.681 -4.909 1.847
-4.192 -1.131 3.020
-3.895 -3.027 -1.908
Ag F Pt
1 6 1
direct
0.750 0.750 0.750 Ag
0.756 0.244 0.244 F
0.244 0.756 0.244 F
0.756 0.756 0.244 F
0.244 0.244 0.756 F
0.756 0.244 0.756 F
0.244 0.756 0.756 F
0.500 0.500 0.500 Pt
```



8.
AgPtF3 after structural relaxation. Source: OQMD via LeMat-Bulk, functional PBE.

Results
relative energy among the computed polymorphs = 4.220 eV/f.u.
symmetry = No. 221

The structure in POSCAR format:
```
AgPtF3
1.0
4.169 0.000 0.000
0.000 4.169 0.000
0.000 0.000 4.169
Ag F Pt
1 3 1
direct
0.000 0.000 0.000 Ag
0.500 0.000 0.000 F
0.000 0.500 0.000 F
0.000 0.000 0.500 F
0.500 0.500 0.500 Pt
```